Entry 1:
Here is a relaxed structure of Na2Al3SbAu12 from Alexandria. Energies are from PBE.

Computed properties:
Crystal system: trigonal
DOS at the Fermi energy, states/eV per atom: 0.291
Formation energy without anion corrections, eV/f.u.: -0.5

Cell: 8.6388 8.6388 18.4723 Å, 90.00 90.00 120.00°
Space group R-3m (No. 166, hexagonal axes)
Inequivalent atoms, fractional coordinates:
Na (0.0000, 0.0000, 0.0940) (multiplicity 6)
Al (0.0000, 0.5000, 0.0000) (multiplicity 9)
Sb (0.0000, 0.0000, 0.5000) (multiplicity 3)
Au (0.0186, 0.5093, 0.3721) (multiplicity 18)
Au (0.0338, 0.5169, 0.8646) (multiplicity 18)

Entry 2:
Here is a relaxed structure of Na2AlSiAu6 from Alexandria. Energies are from PBE.

Computed properties:
Crystal system: cubic
DOS at the Fermi energy, states/eV per atom: 0.284
Formation energy without anion corrections, eV/f.u.: -1.2

Cell: 9.802 9.802 9.802 Å, 90.00 90.00 90.00°
Space group Fm-3m (No. 225)
Inequivalent atoms, fractional coordinates:
Na (0.250, 0.250, 0.250) (multiplicity 8)
Al (0.000, 0.000, 0.000) (multiplicity 4)
Si (0.000, 0.000, 0.500) (multiplicity 4)
Au (0.000, 0.000, 0.253) (multiplicity 24)

Entry 3:
Here is a relaxed structure of NaAlSiAu3 from Alexandria. Energies are from PBE.

Computed properties:
Crystal system: orthorhombic
DOS at the Fermi energy, states/eV per atom: 0.370
Formation energy without anion corrections, eV/f.u.: -1.0

Cell: 7.008 13.436 6.075 Å, 90.00 90.00 90.00°
Space group Cmcm (No. 63)
Inequivalent atoms, fractional coordinates:
Na (0.000, 0.215, 0.250) (multiplicity 4)
Al (0.000, 0.462, 0.750) (multiplicity 4)
Si (0.000, 0.099, 0.750) (multiplicity 4)
Au (0.000, 0.276, 0.750) (multiplicity 4)
Au (0.211, 0.000, 0.000) (multiplicity 8)

Question: Which value of formation energy without anion corrections does entry 2 give?
Answer: -1.2 eV/f.u.

Copy entry 2 word for word.
Here is a relaxed structure of Na2AlSiAu6 from Alexandria. Energies are from PBE.

Computed properties:
Crystal system: cubic
DOS at the Fermi energy, states/eV per atom: 0.284
Formation energy without anion corrections, eV/f.u.: -1.2

Cell: 9.802 9.802 9.802 Å, 90.00 90.00 90.00°
Space group Fm-3m (No. 225)
Inequivalent atoms, fractional coordinates:
Na (0.250, 0.250, 0.250) (multiplicity 8)
Al (0.000, 0.000, 0.000) (multiplicity 4)
Si (0.000, 0.000, 0.500) (multiplicity 4)
Au (0.000, 0.000, 0.253) (multiplicity 24)